## CsHF2 (PBE)

Data for an optimized crystal structure of CsHF2.

Summary:
- total energy (eV per cell) = -68.39

POSCAR file:
```
CsHF2
1.0
6.2444 0.0000 0.0000
0.0000 6.8899 0.0000
-4.3964 0.0000 7.3807
Cs H F
4 4 8
Direct
0.2505 0.2112 0.0704
0.2505 0.2888 0.5704
0.7495 0.7112 0.4296
0.7495 0.7888 0.9296
0.2323 0.6708 0.9245
0.2323 0.8292 0.4245
0.7677 0.1708 0.5755
0.7677 0.3292 0.0755
0.1116 0.5603 0.8157
0.1116 0.9397 0.3157
0.3521 0.7187 0.5387
0.3521 0.7813 0.0387
0.6479 0.2187 0.9613
0.6479 0.2813 0.4613
0.8884 0.0603 0.6843
0.8884 0.4397 0.1843
```